DFT (GGA-PBE) results for an optimized crystal structure of LiFe2Te.

Summary:
ΔE_f (raw): 0.46 eV per atom
Crystal system: tetragonal
Total DFT energy (no corrections): -5.034 eV/atom

a b c (Å): 7.154 7.154 5.682
angles (deg): 50.99 50.99 90.00
Last column: magnetic moment on the atom in μB.
Fractional coordinates of all 8 atoms:
Fe: 0.875 0.875 0.750  2.61
Li: 0.500 0.500 0.000  -0.05
Li: 0.250 0.750 0.500  -0.05
Te: 0.750 0.250 0.500  0.02
Fe: 0.375 0.375 0.750  2.61
Te: 0.000 0.000 0.000  0.02
Fe: 0.625 0.125 0.250  2.61
Fe: 0.125 0.625 0.250  2.61